Compound: Ho12Ir3C5
Source: Alexandria via LeMat-Bulk
Functional: PBE
Structure: optimized geometry

POSCAR file:
```
Ho12Ir3C5
1.0
-7.647 7.647 7.647
7.647 -7.647 7.647
7.647 7.647 -7.647
Ho Ir C
48 12 20
Direct
0.029 0.208 0.124
0.029 0.321 0.905
0.083 0.708 0.679
0.083 0.876 0.405
0.095 0.624 0.417
0.095 0.971 0.679
0.124 0.029 0.208
0.124 0.595 0.917
0.179 0.208 0.583
0.179 0.471 0.595
0.208 0.124 0.029
0.208 0.583 0.179
0.292 0.321 0.917
0.292 0.471 0.376
0.321 0.905 0.029
0.321 0.917 0.292
0.376 0.292 0.471
0.376 0.583 0.905
0.405 0.083 0.876
0.405 0.821 0.529
0.417 0.095 0.624
0.417 0.821 0.792
0.471 0.376 0.292
0.471 0.595 0.179
0.529 0.405 0.821
0.529 0.624 0.708
0.583 0.179 0.208
0.583 0.905 0.376
0.595 0.179 0.471
0.595 0.917 0.124
0.624 0.417 0.095
0.624 0.708 0.529
0.679 0.083 0.708
0.679 0.095 0.971
0.708 0.529 0.624
0.708 0.679 0.083
0.792 0.417 0.821
0.792 0.876 0.971
0.821 0.529 0.405
0.821 0.792 0.417
0.876 0.405 0.083
0.876 0.971 0.792
0.905 0.029 0.321
0.905 0.376 0.583
0.917 0.124 0.595
0.917 0.292 0.321
0.971 0.679 0.095
0.971 0.792 0.876
0.125 0.250 0.375
0.125 0.375 0.750
0.250 0.375 0.125
0.250 0.875 0.625
0.375 0.125 0.250
0.375 0.750 0.125
0.625 0.250 0.875
0.625 0.875 0.750
0.750 0.125 0.375
0.750 0.625 0.875
0.875 0.625 0.250
0.875 0.750 0.625
0.000 0.000 0.000
0.000 0.000 0.500
0.000 0.500 0.000
0.000 0.500 0.500
0.125 0.750 0.875
0.125 0.875 0.250
0.250 0.125 0.875
0.250 0.625 0.375
0.375 0.250 0.625
0.375 0.625 0.750
0.500 0.000 0.000
0.500 0.000 0.500
0.500 0.500 0.000
0.500 0.500 0.500
0.625 0.375 0.250
0.625 0.750 0.375
0.750 0.375 0.625
0.750 0.875 0.125
0.875 0.125 0.750
0.875 0.250 0.125
```

Properties
Its symmetry is Ia-3d, No. 230. Its formation energy is -6.64 eV/f.u.


Compound: Ho2IrC
Source: Alexandria via LeMat-Bulk
Functional: PBE
Structure: optimized geometry

POSCAR file:
```
Ho2IrC
1.0
3.428 0.000 0.000
-1.714 2.969 0.000
0.000 0.000 23.951
Ho Ir C
6 3 3
Direct
0.000 0.000 0.110
0.000 0.000 0.890
0.333 0.667 0.557
0.333 0.667 0.776
0.667 0.333 0.224
0.667 0.333 0.443
0.000 0.000 0.000
0.333 0.667 0.667
0.667 0.333 0.333
0.000 0.000 0.500
0.333 0.667 0.167
0.667 0.333 0.833
```

Properties
Its symmetry is R-3m, No. 166. Its formation energy is 0.64 eV/f.u.


Compound: KHo2C2N6
Source: Alexandria via LeMat-Bulk
Functional: PBE
Structure: optimized geometry

POSCAR file:
```
KHo2C2N6
1.0
5.112 -3.045 0.000
5.112 3.045 0.000
-2.657 0.000 5.516
K Ho C N
1 2 2 6
Direct
0.000 0.000 0.000
0.328 0.328 0.700
0.672 0.672 0.300
0.337 0.337 0.249
0.663 0.663 0.751
0.106 0.477 0.314
0.423 0.423 0.135
0.477 0.106 0.314
0.523 0.894 0.686
0.577 0.577 0.865
0.894 0.523 0.686
```

Properties
Its symmetry is C2/m, No. 12. The energy relative to the elements, uncorrected is -444 kJ/mol of formula units.


no.,DOS(E_F) (states/eV per atom)
1,0.568
2,0.325
3,0.301